VASP calculation (PBE-GGA) on a relaxed structure of Ho3Er7Tm2.

Cell lengths 18.6225, 18.6225, 3.5390 Å; angles 90.00, 90.00, 162.28 degrees
Atoms (fractional coordinates):
Ho 0.0000 0.0000 0.0000
Ho 0.1507 0.8493 0.0000
Ho 0.8493 0.1507 0.0000
Er 0.0729 0.9271 0.5000
Er 0.2301 0.7699 0.5000
Er 0.4092 0.5908 0.0000
Er 0.5000 0.5000 0.5000
Er 0.5908 0.4092 0.0000
Er 0.7699 0.2301 0.5000
Er 0.9271 0.0729 0.5000
Tm 0.3242 0.6758 0.5000
Tm 0.6758 0.3242 0.5000

Calculated values
Energy (eV/cell): -52.64
Calculated formation energy (eV/atom): 0.16
Energy above the lowest structure with this stoichiometry (meV/atom): 141

VASP calculation (PBE-GGA) on a relaxed structure of Zr2Rh2S.

Cell lengths 5.9898, 5.9898, 5.9898 Å; angles 135.16, 135.16, 65.27 degrees
Atoms (fractional coordinates):
Zr 0.2500 0.7500 0.5000
Zr 0.7500 0.2500 0.5000
Rh 0.1228 0.1228 0.0000
Rh 0.8772 0.8772 0.0000
S 0.5000 0.5000 0.0000

Calculated values
Energy relative to the elements, uncorrected (meV/atom): -266.6
Energy (eV/cell): -37.26
Energy above the lowest structure with this stoichiometry (meV/atom): 355

VASP calculation (PBE-GGA) on a relaxed structure of TlRe2.

Cell lengths 2.9073, 2.9073, 7.1915 Å; angles 90.00, 90.00, 120.00 degrees
Atoms (fractional coordinates):
Tl 0.0000 0.0000 0.0000
Re 0.3333 0.6667 0.3598
Re 0.6667 0.3333 0.6402

Calculated values
Energy (eV/cell): -25.36
Calculated formation energy (eV/atom): 0.63
Energy above the lowest structure with this stoichiometry (meV/atom): 92

VASP calculation (PBE-GGA) on a relaxed structure of La12Sm5Dy.

Cell lengths 11.0656, 11.0656, 6.4146 Å; angles 106.49, 106.49, 59.75 degrees
Atoms (fractional coordinates):
La 0.0030 0.6641 0.1673
La 0.1636 0.5031 0.6671
La 0.1686 0.8314 0.0000
La 0.3292 0.6708 0.5000
La 0.3359 0.9970 0.8327
La 0.4969 0.8364 0.3329
La 0.5031 0.1636 0.6671
La 0.6641 0.0030 0.1673
La 0.6708 0.3292 0.5000
La 0.8314 0.1686 0.0000
La 0.8364 0.4969 0.3329
La 0.9970 0.3359 0.8327
Sm 0.1663 0.1663 0.3339
Sm 0.3333 0.3333 0.1674
Sm 0.5000 0.5000 0.0000
Sm 0.6667 0.6667 0.8326
Sm 0.8337 0.8337 0.6661
Dy 0.0000 0.0000 0.5000

Calculated values
Energy (eV/cell): -86.99
Calculated formation energy (eV/atom): 0.02

VASP calculation (PBE-GGA) on a relaxed structure of Li2ScV.

Cell lengths 5.8675, 5.8675, 5.8675 Å; angles 102.06, 102.06, 125.59 degrees
Atoms (fractional coordinates):
Li 0.1090 0.6250 0.9840
Li 0.3750 0.3590 0.4840
Li 0.6410 0.1250 0.0160
Li 0.8750 0.8910 0.5160
Sc 0.2500 0.7500 0.5000
Sc 0.5000 0.5000 0.0000
V 0.0000 0.0000 0.0000
V 0.7500 0.2500 0.5000

Calculated values
Energy (eV/cell): -33.54
Calculated formation energy (eV/atom): 0.63
Energy above the lowest structure with this stoichiometry (meV/atom): 125

VASP calculation (PBE-GGA) on a relaxed structure of LiHf2Ga9.

Cell lengths 4.0731, 4.0731, 12.4383 Å; angles 90.00, 90.00, 90.00 degrees
Atoms (fractional coordinates):
Li 0.0000 0.0000 0.0000
Hf 0.0000 0.0000 0.3368
Hf 0.0000 0.0000 0.6632
Ga 0.0000 0.5000 0.1606
Ga 0.0000 0.5000 0.5000
Ga 0.0000 0.5000 0.8394
Ga 0.5000 0.0000 0.1606
Ga 0.5000 0.0000 0.5000
Ga 0.5000 0.0000 0.8394
Ga 0.5000 0.5000 0.0000
Ga 0.5000 0.5000 0.3294
Ga 0.5000 0.5000 0.6706

Calculated values
Energy (eV/cell): -52.67
Calculated formation energy (eV/atom): -0.30

VASP calculation (PBE-GGA) on a relaxed structure of LiEr4Te5.

Cell lengths 7.4490, 7.4490, 7.4490 Å; angles 99.59, 99.59, 131.82 degrees
Atoms (fractional coordinates):
Li 0.0000 0.0000 0.0000
Er 0.1946 0.5946 0.7941
Er 0.4005 0.1946 0.6000
Er 0.5946 0.8005 0.4000
Er 0.8005 0.4005 0.2059
Te 0.0949 0.2879 0.3876
Te 0.2879 0.9003 0.1930
Te 0.4981 0.4981 0.0000
Te 0.7073 0.0949 0.8070
Te 0.9003 0.7073 0.6124

Calculated values
Energy relative to the elements, uncorrected (meV/atom): -1255.3
Energy (eV/cell): -48.43

VASP calculation (PBE-GGA) on a relaxed structure of Dy2PuCrN4.

Cell lengths 5.9826, 5.9826, 11.6867 Å; angles 90.00, 90.00, 147.35 degrees
Atoms (fractional coordinates):
Dy 0.1305 0.8695 0.5431
Dy 0.1305 0.8695 0.9569
Dy 0.8695 0.1305 0.0431
Dy 0.8695 0.1305 0.4569
Pu 0.3963 0.6037 0.7500
Pu 0.6037 0.3963 0.2500
Cr 0.3361 0.6639 0.2500
Cr 0.6639 0.3361 0.7500
N 0.0741 0.9259 0.7500
N 0.2319 0.7681 0.1306
N 0.2319 0.7681 0.3694
N 0.5000 0.5000 0.0000
N 0.5000 0.5000 0.5000
N 0.7681 0.2319 0.6306
N 0.7681 0.2319 0.8694
N 0.9259 0.0741 0.2500

Calculated values
Energy relative to the elements, uncorrected (meV/atom): -1158.7
Energy (eV/cell): -151.46

VASP calculation (PBE-GGA) on a relaxed structure of LaHoTh2As4.

Cell lengths 7.3403, 4.2535, 7.3640 Å; angles 90.00, 109.59, 90.00 degrees
Atoms (fractional coordinates):
La 0.0000 0.0000 0.0000
Ho 0.0000 0.5000 0.5000
Th 0.5000 0.0000 0.5000
Th 0.5000 0.5000 0.0000
As 0.2471 0.0000 0.7428
As 0.2522 0.5000 0.2570
As 0.7478 0.5000 0.7430
As 0.7529 0.0000 0.2572

Calculated values
Energy (eV/cell): -54.71
Calculated formation energy (eV/atom): -1.47

VASP calculation (PBE-GGA) on a relaxed structure of NbHg3H.

Cell lengths 5.6409, 5.6409, 5.6409 Å; angles 90.00, 90.00, 90.00 degrees
Atoms (fractional coordinates):
Nb 0.0000 0.0000 0.0000
Hg 0.0000 0.0000 0.5000
Hg 0.0000 0.5000 0.0000
Hg 0.5000 0.0000 0.0000
H 0.5000 0.5000 0.5000

Calculated values
Energy (eV/cell): -8.71
Energy above the lowest structure with this stoichiometry (meV/atom): 471